[1]
DFT (PBE) results for a relaxed structure of Pr2ScSn. Values from VASP.

```
&SYSTEM
  ibrav = 0, nat = 4, ntyp = 3
/
ATOMIC_SPECIES
Pr 140.91 Pr.upf
Sc 44.96 Sc.upf
Sn 118.71 Sn.upf
CELL_PARAMETERS angstrom
4.845 0.000 0.000
0.000 4.845 0.000
0.000 0.000 4.854
ATOMIC_POSITIONS crystal
Pr 0.000 0.500 0.000
Pr 0.500 0.000 0.000
Sc 0.000 0.000 0.500
Sn 0.500 0.500 0.500
```

- Energy relative to the elements: -0.41 eV per atom
- M_tot: 0.00 μB/f.u.
- ΔE to the lowest computed polymorph: 0.0 meV per atom
- Density of states at the Fermi level: 3.9 states/eV/f.u.



[2]
DFT (PBE) results for a relaxed structure of Pr3ScSn4. Values from VASP.

```
&SYSTEM
  ibrav = 0, nat = 8, ntyp = 3
/
ATOMIC_SPECIES
Pr 140.91 Pr.upf
Sc 44.96 Sc.upf
Sn 118.71 Sn.upf
CELL_PARAMETERS angstrom
-2.168 3.459 8.458
2.168 -3.459 8.458
2.168 3.459 -8.458
ATOMIC_POSITIONS crystal
Pr 0.000 0.000 0.000
Pr 0.300 0.800 0.500
Pr 0.700 0.200 0.500
Sc 0.500 0.500 0.000
Sn 0.084 0.375 0.710
Sn 0.335 0.625 0.710
Sn 0.665 0.375 0.290
Sn 0.916 0.625 0.290
```

- Energy relative to the elements: -0.56 eV per atom
- M_tot: 0.00 μB/f.u.
- Density of states at the Fermi level: 6.8 states/eV/f.u.



[3]
DFT (PBE) results for a relaxed structure of PrScSn. Values from VASP.

```
&SYSTEM
  ibrav = 0, nat = 3, ntyp = 3
/
ATOMIC_SPECIES
Pr 140.91 Pr.upf
Sc 44.96 Sc.upf
Sn 118.71 Sn.upf
CELL_PARAMETERS angstrom
-2.012 2.012 5.012
2.012 -2.012 5.012
2.012 2.012 -5.012
ATOMIC_POSITIONS crystal
Pr 0.000 0.000 0.000
Sc 0.306 0.306 0.000
Sn 0.675 0.675 0.000
```

- Energy relative to the elements: -0.37 eV per atom
- M_tot: 0.00 μB/f.u.
- ΔE to the lowest computed polymorph: 257.8 meV per atom
- Density of states at the Fermi level: 4.4 states/eV/f.u.



[4]
DFT (PBE) results for a relaxed structure of Pr2ScSn. Values from VASP.

```
&SYSTEM
  ibrav = 0, nat = 4, ntyp = 3
/
ATOMIC_SPECIES
Pr 140.91 Pr.upf
Sc 44.96 Sc.upf
Sn 118.71 Sn.upf
CELL_PARAMETERS angstrom
1.760 1.016 11.969
-1.760 1.016 11.969
0.000 -2.032 11.969
ATOMIC_POSITIONS crystal
Pr 0.090 0.090 0.090
Pr 0.910 0.910 0.910
Sc 0.500 0.500 0.500
Sn 0.000 0.000 0.000
```

- Energy relative to the elements: 0.08 eV per atom
- M_tot: 0.00 μB/f.u.
- ΔE to the lowest computed polymorph: 483.3 meV per atom
- Density of states at the Fermi level: 4.1 states/eV/f.u.



[5]
DFT (PBE) results for a relaxed structure of PrSc8Sn6. Values from VASP.

```
&SYSTEM
  ibrav = 0, nat = 15, ntyp = 3
/
ATOMIC_SPECIES
Pr 140.91 Pr.upf
Sc 44.96 Sc.upf
Sn 118.71 Sn.upf
CELL_PARAMETERS angstrom
4.325 2.497 6.157
-4.325 2.497 6.157
0.000 -4.994 6.157
ATOMIC_POSITIONS crystal
Pr 0.000 0.000 0.000
Sc 0.107 0.779 0.432
Sc 0.221 0.568 0.893
Sc 0.333 0.333 0.333
Sc 0.432 0.107 0.779
Sc 0.568 0.893 0.221
Sc 0.667 0.667 0.667
Sc 0.779 0.432 0.107
Sc 0.893 0.221 0.568
Sn 0.069 0.416 0.722
Sn 0.278 0.931 0.584
Sn 0.416 0.722 0.069
Sn 0.584 0.278 0.931
Sn 0.722 0.069 0.416
Sn 0.931 0.584 0.278
```

- Energy relative to the elements: -0.46 eV per atom
- M_tot: 0.00 μB/f.u.
- Density of states at the Fermi level: 12.0 states/eV/f.u.



[6]
DFT (PBE) results for a relaxed structure of PrSc3Sn2. Values from VASP.

```
&SYSTEM
  ibrav = 0, nat = 12, ntyp = 3
/
ATOMIC_SPECIES
Pr 140.91 Pr.upf
Sc 44.96 Sc.upf
Sn 118.71 Sn.upf
CELL_PARAMETERS angstrom
9.021 -2.270 0.000
9.021 2.270 0.000
-4.479 0.000 7.933
ATOMIC_POSITIONS crystal
Pr 0.131 0.131 0.183
Pr 0.869 0.869 0.817
Sc 0.053 0.053 0.707
Sc 0.310 0.310 0.095
Sc 0.404 0.404 0.498
Sc 0.596 0.596 0.502
Sc 0.690 0.690 0.905
Sc 0.947 0.947 0.293
Sn 0.216 0.216 0.695
Sn 0.482 0.482 0.134
Sn 0.518 0.518 0.866
Sn 0.784 0.784 0.305
```

- Energy relative to the elements: -0.48 eV per atom
- M_tot: 0.56 μB/f.u.
- Density of states at the Fermi level: 6.5 states/eV/f.u.